[1]
The following is a PBE-GGA calculation of Pr12Sm7Cd after structural relaxation, from the Alexandria database.

Calculated values
Calculated total energy in eV/atom: -3.95
Mass density in kg/m³: 5932
DFT formation energy in eV/f.u.: 12.3
Fermi-level density of states in states/eV/f.u.: 27.0
Size of the total moment in μB per formula unit: 0.00

Cell: 11.6936 11.6936 11.6936 Å, 90.00 90.00 90.00°
Space group Im-3 (No. 204)
Inequivalent atoms, fractional coordinates:
Pr (0.0000, 0.2444, 0.2437) (multiplicity 24)
Sm (0.0000, 0.0000, 0.5000) (multiplicity 6)
Sm (0.2500, 0.2500, 0.2500) (multiplicity 8)
Cd (0.0000, 0.0000, 0.0000) (multiplicity 2)

---

[2]
The following is a PBE-GGA calculation of PrSmCd2 after structural relaxation, from the Alexandria database.

Calculated values
Calculated total energy in eV/atom: -3.15
Mass density in kg/m³: 7512
DFT formation energy in eV/f.u.: -1.3
Fermi-level density of states in states/eV/f.u.: 4.9
Size of the total moment in μB per formula unit: 0.78

Cell: 3.8384 3.8384 7.7432 Å, 90.00 90.00 90.00°
Space group P4/mmm (No. 123)
Inequivalent atoms, fractional coordinates:
Pr (0.0000, 0.0000, 0.0000) (multiplicity 1)
Sm (0.0000, 0.0000, 0.5000) (multiplicity 1)
Cd (0.5000, 0.5000, 0.2596) (multiplicity 2)

---

[3]
The following is a PBE-GGA calculation of Pr2Sm2Cd after structural relaxation, from the Alexandria database.

Calculated values
Calculated total energy in eV/atom: -4.10
Mass density in kg/m³: 7123
DFT formation energy in eV/f.u.: -0.6
Fermi-level density of states in states/eV/f.u.: 7.0
Size of the total moment in μB per formula unit: 0.00

Cell: 3.7174 3.7174 23.4469 Å, 90.00 90.00 90.00°
Space group I4/mmm (No. 139)
Inequivalent atoms, fractional coordinates:
Pr (0.0000, 0.0000, 0.1940) (multiplicity 4)
Sm (0.0000, 0.0000, 0.4141) (multiplicity 4)
Cd (0.0000, 0.0000, 0.0000) (multiplicity 2)